# Ir2PtW (GGA-PBEsol, optimized geometry)
data_Ir2PtW
_chemical_formula_sum 'Ir2 Pt1 W1'
_symmetry_space_group_name_H-M 'P 1'
_symmetry_Int_Tables_number 1
_cell_length_a 5.3645
_cell_length_b 5.3645
_cell_length_c 2.7175
_cell_angle_alpha 104.63
_cell_angle_beta 104.63
_cell_angle_gamma 118.83
loop_
_symmetry_equiv_pos_as_xyz
'x,y,z'
loop_
_atom_site_label
_atom_site_fract_x
_atom_site_fract_y
_atom_site_fract_z
Ir1 0.0000 0.5000 0.0000
Ir2 0.5000 0.0000 0.0000
Pt1 0.0000 0.0000 0.5000
W1 0.5000 0.5000 0.5000
# E above lowest polymorph   0.91 eV per formula unit
# Symmetry   C2/m (12)
# Final energy   -10.004 eV/atom
# E_form   100 meV/atom
# Magnetization   0.00 Bohr magnetons per cell

***

# Ir2PtW (GGA-PBEsol, optimized geometry)
data_Ir2PtW
_chemical_formula_sum 'Ir2 Pt1 W1'
_symmetry_space_group_name_H-M 'P 1'
_symmetry_Int_Tables_number 1
_cell_length_a 4.7245
_cell_length_b 4.7245
_cell_length_c 2.7614
_cell_angle_alpha 90.00
_cell_angle_beta 90.00
_cell_angle_gamma 108.97
loop_
_symmetry_equiv_pos_as_xyz
'x,y,z'
loop_
_atom_site_label
_atom_site_fract_x
_atom_site_fract_y
_atom_site_fract_z
Ir1 0.0000 0.5000 0.0000
Ir2 0.5000 0.0000 0.0000
Pt1 0.0000 0.0000 0.5000
W1 0.5000 0.5000 0.5000
# E above lowest polymorph   0.00 eV per formula unit
# Symmetry   Cmmm (65)
# Final energy   -10.233 eV/atom
# E_form   -128 meV/atom
# Magnetization   0.00 Bohr magnetons per cell

***

# Ir2PtW (GGA-PBEsol, optimized geometry)
data_Ir2PtW
_chemical_formula_sum 'Ir2 Pt1 W1'
_symmetry_space_group_name_H-M 'P 1'
_symmetry_Int_Tables_number 1
_cell_length_a 9.1828
_cell_length_b 9.1828
_cell_length_c 9.1828
_cell_angle_alpha 17.16
_cell_angle_beta 17.16
_cell_angle_gamma 17.16
loop_
_symmetry_equiv_pos_as_xyz
'x,y,z'
loop_
_atom_site_label
_atom_site_fract_x
_atom_site_fract_y
_atom_site_fract_z
Ir1 0.2471 0.2471 0.2471
Ir2 0.7529 0.7529 0.7529
Pt1 0.0000 0.0000 0.0000
W1 0.5000 0.5000 0.5000
# E above lowest polymorph   0.06 eV per formula unit
# Symmetry   R-3m (166)
# Final energy   -10.218 eV/atom
# E_form   -114 meV/atom
# Magnetization   0.00 Bohr magnetons per cell

***

# Y2IrPt (GGA-PBEsol, optimized geometry)
data_Y2IrPt
_chemical_formula_sum 'Y2 Ir1 Pt1'
_symmetry_space_group_name_H-M 'P 1'
_symmetry_Int_Tables_number 1
_cell_length_a 3.4080
_cell_length_b 3.4080
_cell_length_c 6.8721
_cell_angle_alpha 90.00
_cell_angle_beta 90.00
_cell_angle_gamma 90.00
loop_
_symmetry_equiv_pos_as_xyz
'x,y,z'
loop_
_atom_site_label
_atom_site_fract_x
_atom_site_fract_y
_atom_site_fract_z
Y1 0.0000 0.0000 0.2448
Y2 0.0000 0.0000 0.7552
Ir1 0.5000 0.5000 0.0000
Pt1 0.5000 0.5000 0.5000
# Symmetry   P4/mmm (123)
# Final energy   -8.578 eV/atom
# E_form   -970 meV/atom
# Magnetization   0.00 Bohr magnetons per cell

***

# Y2IrPt (GGA-PBEsol, optimized geometry)
data_Y2IrPt
_chemical_formula_sum 'Y2 Ir1 Pt1'
_symmetry_space_group_name_H-M 'P 1'
_symmetry_Int_Tables_number 1
_cell_length_a 4.1930
_cell_length_b 5.6197
_cell_length_c 5.6197
_cell_angle_alpha 39.54
_cell_angle_beta 90.00
_cell_angle_gamma 90.00
loop_
_symmetry_equiv_pos_as_xyz
'x,y,z'
loop_
_atom_site_label
_atom_site_fract_x
_atom_site_fract_y
_atom_site_fract_z
Y1 0.0000 0.0000 0.0000
Y2 0.5000 0.2864 0.2864
Ir1 0.0000 0.7291 0.7291
Pt1 0.5000 0.5608 0.5608
# Symmetry   Amm2 (38)
# Final energy   -8.574 eV/atom
# E_form   -966 meV/atom
# Magnetization   0.00 Bohr magnetons per cell

***

# Y2IrPt (GGA-PBEsol, optimized geometry)
data_Y2IrPt
_chemical_formula_sum 'Y2 Ir1 Pt1'
_symmetry_space_group_name_H-M 'P 1'
_symmetry_Int_Tables_number 1
_cell_length_a 6.9592
_cell_length_b 6.9592
_cell_length_c 6.9592
_cell_angle_alpha 35.73
_cell_angle_beta 35.73
_cell_angle_gamma 35.73
loop_
_symmetry_equiv_pos_as_xyz
'x,y,z'
loop_
_atom_site_label
_atom_site_fract_x
_atom_site_fract_y
_atom_site_fract_z
Y1 0.0000 0.0000 0.0000
Y2 0.1792 0.1792 0.1792
Ir1 0.7569 0.7569 0.7569
Pt1 0.4226 0.4226 0.4226
# Symmetry   R3m (160)
# Final energy   -8.170 eV/atom
# E_form   -562 meV/atom
# Magnetization   0.00 Bohr magnetons per cell

***

# Y2IrPt (GGA-PBEsol, optimized geometry)
data_Y2IrPt
_chemical_formula_sum 'Y2 Ir1 Pt1'
_symmetry_space_group_name_H-M 'P 1'
_symmetry_Int_Tables_number 1
_cell_length_a 4.7283
_cell_length_b 4.7283
_cell_length_c 4.7283
_cell_angle_alpha 60.00
_cell_angle_beta 60.00
_cell_angle_gamma 60.00
loop_
_symmetry_equiv_pos_as_xyz
'x,y,z'
loop_
_atom_site_label
_atom_site_fract_x
_atom_site_fract_y
_atom_site_fract_z
Y1 0.0000 0.0000 0.0000
Y2 0.2500 0.2500 0.2500
Ir1 0.7500 0.7500 0.7500
Pt1 0.5000 0.5000 0.5000
# Symmetry   F-43m (216)
# Final energy   -8.107 eV/atom
# E_form   -499 meV/atom
# Magnetization   0.00 Bohr magnetons per cell

***

# YIrPt (GGA-PBEsol, optimized geometry)
data_YIrPt
_chemical_formula_sum 'Y1 Ir1 Pt1'
_symmetry_space_group_name_H-M 'P 1'
_symmetry_Int_Tables_number 1
_cell_length_a 4.4507
_cell_length_b 4.4507
_cell_length_c 4.4507
_cell_angle_alpha 60.00
_cell_angle_beta 60.00
_cell_angle_gamma 60.00
loop_
_symmetry_equiv_pos_as_xyz
'x,y,z'
loop_
_atom_site_label
_atom_site_fract_x
_atom_site_fract_y
_atom_site_fract_z
Y1 0.0000 0.0000 0.0000
Ir1 0.7500 0.7500 0.7500
Pt1 0.2500 0.2500 0.2500
# Symmetry   F-43m (216)
# Final energy   -7.769 eV/atom
# E_form   101 meV/atom
# Magnetization   0.00 Bohr magnetons per cell